Density functional theory data (meta-GGA SCAN) for ScTa2Ir at its PBEsol-relaxed geometry.

Structure (POSCAR):
```
ScTa2Ir
1.0
4.559 0.000 0.000
2.280 3.949 0.000
2.280 1.316 3.723
Ir Sc Ta
1 1 2
Cartesian
4.559 2.632 1.861
2.280 1.316 0.931
0.000 0.000 0.000
6.839 3.949 2.792
```

Values from the calculation:
Space group: No. 216
ΔE_f: -364 meV/atom
N(E_F): 1.09 states/eV per atom
Calculated density: 14843 kg/m3
Crystal system: cubic